Record 1
A plane-wave DFT calculation with PBE was carried out for an optimized crystal structure of ZrCo2HgPt.

The density of states at the Fermi level is 7.8 states/eV/f.u. As for the formation energy from the elements: 3.5 eV/f.u.

It has space group P4/mmm (No. 123), with a = 4.6899 Å, b = 4.6899 Å, c = 4.9831 Å, α = 90.00°, β = 90.00° and γ = 90.00°. The asymmetric unit holds Zr at (0.0000, 0.0000, 0.0000), Co at (0.0000, 0.5000, 0.5000), Hg at (0.5000, 0.5000, 0.0000) and Pt at (0.0000, 0.0000, 0.5000).



Record 2
A plane-wave DFT calculation with PBE was carried out for an optimized crystal structure of Hf8SnPd2.

The density of states at the Fermi level is 10.4 states/eV/f.u. As for the formation energy from the elements: -1.8 eV/f.u.

It has space group C2/m (No. 12), with a = 7.9004 Å, b = 13.0818 Å, c = 4.8663 Å, α = 90.00°, β = 108.74° and γ = 90.00°. The asymmetric unit holds Hf at (0.0000, 0.2314, 0.0000), Hf at (0.1019, 0.5000, 0.8056), Hf at (0.2032, 0.1136, 0.6015), Sn at (0.0000, 0.0000, 0.0000) and Pd at (0.0000, 0.3086, 0.5000).



Record 3
A plane-wave DFT calculation with PBE was carried out for an optimized crystal structure of GeBiF3.

The density of states at the Fermi level is 3.7 states/eV/f.u. As for the distance to the lowest polymorph of the same formula: 0 meV per atom. The uncorrected formation energy is -1284 meV per atom.

It has space group Pm-3m (No. 221), with a = 4.4764 Å, b = 4.4764 Å, c = 4.4764 Å, α = 90.00°, β = 90.00° and γ = 90.00°. The asymmetric unit holds Ge at (0.0000, 0.0000, 0.0000), Bi at (0.5000, 0.5000, 0.5000) and F at (0.0000, 0.0000, 0.5000).



Record 4
A plane-wave DFT calculation with PBE was carried out for an optimized crystal structure of Ac3Pd7Pb2.

The density of states at the Fermi level is 6.8 states/eV/f.u. As for the distance to the lowest polymorph of the same formula: 0 meV per atom. As for the formation energy from the elements: -7.0 eV/f.u.

It has space group P2/m (No. 10), with a = 4.9573 Å, b = 4.3151 Å, c = 13.9310 Å, α = 90.00°, β = 99.74° and γ = 90.00°. The asymmetric unit holds Ac at (0.0000, 0.0000, 0.0000), Ac at (0.3091, 0.5000, 0.6294), Pd at (0.1065, 0.5000, 0.8324), Pd at (0.2287, 0.0000, 0.4572), Pd at (0.4436, 0.0000, 0.8581), Pd at (0.5000, 0.5000, 0.0000) and Pb at (0.1594, 0.0000, 0.2577).



Record 5
A plane-wave DFT calculation with PBE was carried out for an optimized crystal structure of ZrAlV.

The density of states at the Fermi level is 3.3 states/eV/f.u. As for the distance to the lowest polymorph of the same formula: 152 meV per atom. As for the formation energy from the elements: -0.4 eV/f.u.

It has space group C2/m (No. 12), with a = 11.0858 Å, b = 3.2903 Å, c = 5.9504 Å, α = 90.00°, β = 105.88° and γ = 90.00°. The asymmetric unit holds Zr at (0.0000, 0.0000, 0.0000), Zr at (0.0000, 0.0000, 0.5000), Al at (0.1849, 0.5000, 0.3332) and V at (0.1817, 0.5000, 0.8661).



Record 6
A plane-wave DFT calculation with PBE was carried out for an optimized crystal structure of RbAg3Te.

The density of states at the Fermi level is 2.3 states/eV/f.u. As for the distance to the lowest polymorph of the same formula: 985 meV per atom. The uncorrected formation energy is 1158 meV per atom.

It has space group Pm-3m (No. 221), with a = 5.6693 Å, b = 5.6693 Å, c = 5.6693 Å, α = 90.00°, β = 90.00° and γ = 90.00°. The asymmetric unit holds Rb at (0.0000, 0.0000, 0.0000), Ag at (0.0000, 0.0000, 0.5000) and Te at (0.5000, 0.5000, 0.5000).



Record 7
A plane-wave DFT calculation with PBE was carried out for an optimized crystal structure of NaErPd6O8.

The density of states at the Fermi level is 2.3 states/eV/f.u. The uncorrected formation energy is -1091 meV per atom.

It has space group Pm-3 (No. 200), with a = 5.8239 Å, b = 5.8239 Å, c = 5.8239 Å, α = 90.00°, β = 90.00° and γ = 90.00°. The asymmetric unit holds Na at (0.0000, 0.0000, 0.0000), Er at (0.5000, 0.5000, 0.5000), Pd at (0.0000, 0.2502, 0.5000) and O at (0.2614, 0.2614, 0.2614).



Record 8
A plane-wave DFT calculation with PBE was carried out for an optimized crystal structure of TbNd2ThBi4.

The density of states at the Fermi level is 1.8 states/eV/f.u. As for the formation energy from the elements: -6.8 eV/f.u.

It has space group P2/m (No. 10), with a = 7.9147 Å, b = 4.5855 Å, c = 7.9363 Å, α = 90.00°, β = 109.48° and γ = 90.00°. The asymmetric unit holds Tb at (0.0000, 0.0000, 0.0000), Nd at (0.0000, 0.5000, 0.5000), Nd at (0.5000, 0.0000, 0.5000), Th at (0.5000, 0.5000, 0.0000), Bi at (0.2452, 0.5000, 0.2442) and Bi at (0.2477, 0.0000, 0.7528).



Record 9
A plane-wave DFT calculation with PBE was carried out for an optimized crystal structure of ZrInNi.

The density of states at the Fermi level is 2.6 states/eV/f.u. As for the formation energy from the elements: -0.8 eV/f.u.

It has space group I4mm (No. 107), with a = 3.1501 Å, b = 3.1501 Å, c = 11.0604 Å, α = 90.00°, β = 90.00° and γ = 90.00°. The asymmetric unit holds Zr at (0.0000, 0.0000, 0.0000), In at (0.0000, 0.0000, 0.2929) and Ni at (0.0000, 0.0000, 0.6425).



Record 10
A plane-wave DFT calculation with PBE was carried out for an optimized crystal structure of CoSiCl4.

The density of states at the Fermi level is 4.2 states/eV/f.u. The uncorrected formation energy is 1129 meV per atom.

It has space group F-43m (No. 216), with a = 8.1912 Å, b = 8.1912 Å, c = 8.1912 Å, α = 90.00°, β = 90.00° and γ = 90.00°. The asymmetric unit holds Co at (0.0000, 0.0000, 0.0000), Si at (0.2500, 0.2500, 0.7500) and Cl at (0.1259, 0.1259, 0.3741).



Record 11
A plane-wave DFT calculation with PBE was carried out for an optimized crystal structure of GaPI3.

The density of states at the Fermi level is 4.0 states/eV/f.u. As for the distance to the lowest polymorph of the same formula: 456 meV per atom. The uncorrected formation energy is 537 meV per atom.

It has space group Pm-3m (No. 221), with a = 5.6909 Å, b = 5.6909 Å, c = 5.6909 Å, α = 90.00°, β = 90.00° and γ = 90.00°. The asymmetric unit holds Ga at (0.0000, 0.0000, 0.0000), P at (0.5000, 0.5000, 0.5000) and I at (0.0000, 0.0000, 0.5000).



Record 12
A plane-wave DFT calculation with PBE was carried out for an optimized crystal structure of CdPb3I6Br2.

The density of states at the Fermi level is 0.0 states/eV/f.u. The uncorrected formation energy is -659 meV per atom.

It has space group C2/m (No. 12), with a = 15.6489 Å, b = 9.0463 Å, c = 7.1373 Å, α = 90.00°, β = 93.95° and γ = 90.00°. The asymmetric unit holds Cd at (0.0000, 0.0000, 0.0000), Pb at (0.0000, 0.5000, 0.5000), Pb at (0.2500, 0.2500, 0.0000), I at (0.0861, 0.2404, 0.2537), I at (0.1460, 0.0000, 0.7528) and Br at (0.1682, 0.5000, 0.7536).



Record 13
A plane-wave DFT calculation with PBE was carried out for an optimized crystal structure of Pm2Dy3Sc2.

The density of states at the Fermi level is 10.2 states/eV/f.u. As for the distance to the lowest polymorph of the same formula: 11 meV per atom. As for the formation energy from the elements: 0.3 eV/f.u.

It has space group C2/m (No. 12), with a = 10.9785 Å, b = 4.9605 Å, c = 7.8254 Å, α = 90.00°, β = 98.41° and γ = 90.00°. The asymmetric unit holds Pm at (0.0727, 0.0000, 0.2232), Dy at (0.0000, 0.5000, 0.5000), Dy at (0.1439, 0.5000, 0.9295) and Sc at (0.2155, 0.0000, 0.6404).



Record 14
A plane-wave DFT calculation with PBE was carried out for an optimized crystal structure of Y3TaIn.

The density of states at the Fermi level is 5.3 states/eV/f.u. As for the distance to the lowest polymorph of the same formula: 0 meV per atom. As for the formation energy from the elements: 2.8 eV/f.u.

It has space group Pm-3m (No. 221), with a = 5.4576 Å, b = 5.4576 Å, c = 5.4576 Å, α = 90.00°, β = 90.00° and γ = 90.00°. The asymmetric unit holds Y at (0.0000, 0.0000, 0.5000), Ta at (0.0000, 0.0000, 0.0000) and In at (0.5000, 0.5000, 0.5000).



Record 15
A plane-wave DFT calculation with PBE was carried out for an optimized crystal structure of NpPa2PN8.

The density of states at the Fermi level is 10.2 states/eV/f.u. The uncorrected formation energy is -173 meV per atom.

It has space group P-3m1 (No. 164), with a = 5.2452 Å, b = 5.2452 Å, c = 5.8603 Å, α = 90.00°, β = 90.00° and γ = 120.00°. The asymmetric unit holds Np at (0.0000, 0.0000, 0.0000), Pa at (0.3333, 0.6667, 0.3672), P at (0.0000, 0.0000, 0.5000), N at (0.1579, 0.3158, 0.6835) and N at (0.3333, 0.6667, 0.0382).



Record 16
A plane-wave DFT calculation with PBE was carried out for an optimized crystal structure of Mg3SnBr.

The density of states at the Fermi level is 5.0 states/eV/f.u. As for the distance to the lowest polymorph of the same formula: 267 meV per atom. The uncorrected formation energy is 210 meV per atom.

It has space group Pm-3m (No. 221), with a = 5.1967 Å, b = 5.1967 Å, c = 5.1967 Å, α = 90.00°, β = 90.00° and γ = 90.00°. The asymmetric unit holds Mg at (0.0000, 0.0000, 0.5000), Sn at (0.5000, 0.5000, 0.5000) and Br at (0.0000, 0.0000, 0.0000).



Record 17
A plane-wave DFT calculation with PBE was carried out for an optimized crystal structure of ScBe8Co3.

The density of states at the Fermi level is 7.2 states/eV/f.u. As for the formation energy from the elements: -2.8 eV/f.u.

It has space group P3m1 (No. 156), with a = 4.2626 Å, b = 4.2626 Å, c = 7.0562 Å, α = 90.00°, β = 90.00° and γ = 120.00°. The asymmetric unit holds Sc at (0.0000, 0.0000, 0.0000), Be at (0.1650, 0.3300, 0.6726), Be at (0.3333, 0.6667, 0.4409), Be at (0.3333, 0.6667, 0.9272), Be at (0.5036, 0.0071, 0.2115), Co at (0.0000, 0.0000, 0.3729), Co at (0.6667, 0.3333, 0.5033) and Co at (0.6667, 0.3333, 0.8642).



Record 18
A plane-wave DFT calculation with PBE was carried out for an optimized crystal structure of MnIrSe2.

The density of states at the Fermi level is 3.0 states/eV/f.u. As for the distance to the lowest polymorph of the same formula: 585 meV per atom. The uncorrected formation energy is 346 meV per atom.

It has space group I-4m2 (No. 119), with a = 3.8453 Å, b = 3.8453 Å, c = 8.9327 Å, α = 90.00°, β = 90.00° and γ = 90.00°. The asymmetric unit holds Mn at (0.0000, 0.0000, 0.0000), Ir at (0.0000, 0.5000, 0.2500), Se at (0.0000, 0.0000, 0.5000) and Se at (0.0000, 0.5000, 0.7500).



Record 19
A plane-wave DFT calculation with PBE was carried out for an optimized crystal structure of Nd2YHg.

The density of states at the Fermi level is 4.8 states/eV/f.u. As for the distance to the lowest polymorph of the same formula: 0 meV per atom. As for the formation energy from the elements: -1.0 eV/f.u.

It has space group P4/nmm (No. 129, origin choice 2), with a = 5.2463 Å, b = 5.2463 Å, c = 8.9445 Å, α = 90.00°, β = 90.00° and γ = 90.00°. The asymmetric unit holds Nd at (0.2500, 0.2500, 0.2220), Nd at (0.2500, 0.7500, 0.5000), Y at (0.2500, 0.2500, 0.7858) and Hg at (0.2500, 0.7500, 0.0000).



Record 20
A plane-wave DFT calculation with PBE was carried out for an optimized crystal structure of ErGa4Pd2.

The density of states at the Fermi level is 2.4 states/eV/f.u. As for the distance to the lowest polymorph of the same formula: 0 meV per atom. As for the formation energy from the elements: -4.7 eV/f.u.

It has space group Pnma (No. 62), with a = 17.5752 Å, b = 4.3055 Å, c = 6.5040 Å, α = 90.00°, β = 90.00° and γ = 90.00°. The asymmetric unit holds Er at (0.1405, 0.2500, 0.0139), Ga at (0.0379, 0.7500, 0.8418), Ga at (0.0758, 0.2500, 0.4850), Ga at (0.1802, 0.7500, 0.3231), Ga at (0.1886, 0.7500, 0.7294), Pd at (0.0333, 0.7500, 0.2517) and Pd at (0.2207, 0.2500, 0.5337).



Record 21
A plane-wave DFT calculation with PBE was carried out for an optimized crystal structure of BaCdRu2.

The density of states at the Fermi level is 3.3 states/eV/f.u. As for the formation energy from the elements: 3.0 eV/f.u.

It has space group R3m (No. 160, hexagonal axes), with a = 3.0318 Å, b = 3.0318 Å, c = 31.2524 Å, α = 90.00°, β = 90.00° and γ = 120.00°. The asymmetric unit holds Ba at (0.0000, 0.0000, 0.0000), Cd at (0.0000, 0.0000, 0.7721), Ru at (0.0000, 0.0000, 0.2421) and Ru at (0.0000, 0.0000, 0.5141).



Record 22
A plane-wave DFT calculation with PBE was carried out for an optimized crystal structure of BiIrS2.

The density of states at the Fermi level is 0.0 states/eV/f.u. The uncorrected formation energy is -144 meV per atom.

It has space group P1 (No. 1), with a = 5.3518 Å, b = 5.8484 Å, c = 6.6006 Å, α = 100.76°, β = 106.34° and γ = 110.97°. The asymmetric unit holds Bi at (0.0000, 0.0000, 0.0000), Bi at (0.2368, 0.8518, 0.4621), Ir at (0.2884, 0.2833, 0.7785), Ir at (0.7049, 0.4599, 0.3553), S at (0.4514, 0.6247, 0.1193), S at (0.5610, 0.6019, 0.6425), S at (0.7526, 0.3255, 0.0186) and S at (0.8539, 0.2008, 0.5258).



Record 23
A plane-wave DFT calculation with PBE was carried out for an optimized crystal structure of CsCdPd3.

The density of states at the Fermi level is 2.5 states/eV/f.u. As for the distance to the lowest polymorph of the same formula: 826 meV per atom. As for the formation energy from the elements: 6.1 eV/f.u.

It has space group Pm-3m (No. 221), with a = 5.3195 Å, b = 5.3195 Å, c = 5.3195 Å, α = 90.00°, β = 90.00° and γ = 90.00°. The asymmetric unit holds Cs at (0.0000, 0.0000, 0.0000), Cd at (0.5000, 0.5000, 0.5000) and Pd at (0.0000, 0.0000, 0.5000).



Record 24
A plane-wave DFT calculation with PBE was carried out for an optimized crystal structure of Li2UAlO6.

The density of states at the Fermi level is 6.5 states/eV/f.u. The uncorrected formation energy is -2524 meV per atom.

It has space group R3 (No. 146, hexagonal axes), with a = 5.1763 Å, b = 5.1763 Å, c = 13.8966 Å, α = 90.00°, β = 90.00° and γ = 120.00°. The asymmetric unit holds Li at (0.0000, 0.0000, 0.0000), Li at (0.0000, 0.0000, 0.4980), U at (0.0000, 0.0000, 0.2147), Al at (0.0000, 0.0000, 0.7156), O at (0.0033, 0.6250, 0.4561) and O at (0.0550, 0.3571, 0.2963).



Which calculated volume belongs to each record? In order, 109.6 476.3 89.7 293.7 208.8 182.2 197.5 271.5 109.8 549.6 184.3 1008.0 421.6 162.6 139.6 140.3 111.0 132.1 246.2 492.2 248.8 175.3 150.5 322.5 Å³ per cell.